# SrSi2P

A relaxed SrSi2P crystal (PBE, Alexandria).

Cell and atoms, written as POSCAR:
```
SrSi2P
1.0
3.553 0.000 0.000
0.000 3.553 0.000
0.000 0.000 6.420
Sr Si P
1 2 1
Direct
0.000 0.000 0.000 Sr
0.500 0.500 0.323 Si
0.500 0.500 0.677 Si
0.000 0.000 0.500 P
```

Electronic total energy, Ry per atom: -0.328
Density, g/cm³: 3.58
Space-group type: P4/mmm (123)